A geometry-optimized Ba2YMg3H12 structure, computed with PBE.

Cell and atoms, written as POSCAR:
```
Ba2YMg3H12
1.0
3.459 1.997 5.509
-3.459 1.997 5.509
0.000 -3.994 5.509
Ba Y Mg H
2 1 3 12
Cartesian
0.000 0.000 1.876 Ba
0.000 0.000 14.651 Ba
0.000 0.000 8.264 Y
-1.729 -0.998 5.509 Mg
-1.729 0.998 11.018 Mg
0.000 1.997 5.509 Mg
-1.843 -1.064 7.471 H
0.000 -1.609 5.977 H
-1.394 0.805 5.977 H
0.000 -2.128 9.056 H
-1.394 -0.805 10.550 H
-1.843 1.064 9.056 H
1.843 -1.064 7.471 H
1.394 0.805 5.977 H
0.000 2.128 7.471 H
1.394 -0.805 10.550 H
0.000 1.609 10.550 H
1.843 1.064 9.056 H
```

Values from the calculation:
Total moment = 0.00 μB per cell
Raw total energy = -3.381 eV/atom


A geometry-optimized Sm12HoAl4O3 structure, computed with PBE.

Cell and atoms, written as POSCAR:
```
Sm12HoAl4O3
1.0
-5.043 5.043 5.043
5.043 -5.043 5.043
5.043 5.043 -5.043
Sm Ho Al O
12 1 4 3
Cartesian
2.767 0.000 0.000 Sm
7.319 0.000 0.000 Sm
5.043 2.522 0.000 Sm
5.043 0.000 2.522 Sm
0.000 2.767 0.000 Sm
0.000 0.000 2.767 Sm
2.522 5.043 0.000 Sm
2.522 0.000 5.043 Sm
0.000 7.319 0.000 Sm
0.000 0.000 7.319 Sm
0.000 5.043 2.522 Sm
0.000 2.522 5.043 Sm
0.000 0.000 0.000 Ho
2.522 2.522 -2.522 Al
2.522 -2.522 2.522 Al
-2.522 2.522 2.522 Al
2.522 2.522 2.522 Al
5.043 0.000 0.000 O
0.000 5.043 0.000 O
0.000 0.000 5.043 O
```

Values from the calculation:
Total moment = 0.00 μB per cell
Raw total energy = -5.230 eV/atom
Raw formation energy = -0.68 eV/atom


A geometry-optimized Sr3SnSe structure, computed with PBE.

Cell and atoms, written as POSCAR:
```
Sr3SnSe
1.0
5.819 0.000 0.000
0.000 5.819 0.000
0.000 0.000 5.819
Sr Sn Se
3 1 1
Cartesian
0.000 0.000 2.910 Sr
0.000 2.910 0.000 Sr
2.910 0.000 0.000 Sr
2.910 2.910 2.910 Sn
0.000 0.000 0.000 Se
```

Values from the calculation:
Total moment = 0.00 μB per cell
Raw total energy = -3.447 eV/atom
Raw formation energy = -0.94 eV/atom